Below is a relaxed structure of Li2TiBiO, with properties calculated at the PBE level.

SG: P4/mmm, No. 123

a = 4.276 Å, b = 4.276 Å, c = 4.070 Å
α = 90.00°, β = 90.00°, γ = 90.00°
Atoms (fractional coordinates):
Li1 0.500 0.000 0.000
Bi1 0.500 0.500 0.500
Li2 0.000 0.500 0.000
O1 0.000 0.000 0.000
Ti1 0.000 0.000 0.500

Below is a relaxed structure of LiTi2BiO6, with properties calculated at the PBE level.

SG: R3, No. 146

a = 5.581 Å, b = 5.581 Å, c = 5.581 Å
α = 58.15°, β = 58.15°, γ = 58.15°
Atoms (fractional coordinates):
Ti1 0.987 0.987 0.987
O1 0.264 0.822 0.685
O2 0.685 0.264 0.822
Li1 0.698 0.698 0.698
O3 0.822 0.685 0.264
O4 0.167 0.341 0.768
Bi1 0.216 0.216 0.216
O5 0.768 0.167 0.341
O6 0.341 0.768 0.167
Ti2 0.486 0.486 0.486

Below is a relaxed structure of LiTiBi2O5, with properties calculated at the PBE level.

SG: Cmc2_1, No. 36

a = 3.348 Å, b = 6.901 Å, c = 11.336 Å
α = 90.00°, β = 90.00°, γ = 104.04°
Atoms (fractional coordinates):
Bi1 0.169 0.338 0.320
O1 0.678 0.355 0.908
Bi2 0.889 0.778 0.151
O2 0.276 0.552 0.685
O3 0.489 0.979 0.795
Li1 0.794 0.589 0.523
O4 0.724 0.448 0.185
O5 0.959 0.919 0.519
O6 0.322 0.645 0.408
Ti1 0.542 0.084 0.939
Ti2 0.458 0.916 0.439
Li2 0.206 0.411 0.023
Bi3 0.111 0.222 0.651
O7 0.358 0.717 0.984
O8 0.041 0.081 0.019
Bi4 0.831 0.662 0.820
O9 0.642 0.283 0.484
O10 0.511 0.021 0.295

Below is a relaxed structure of LiTiBi2O6, with properties calculated at the PBE level.

SG: P2_1/c, No. 14

a = 5.449 Å, b = 5.797 Å, c = 7.791 Å
α = 90.00°, β = 89.33°, γ = 90.00°
Atoms (fractional coordinates):
Li1 0.000 0.500 0.000
Ti1 0.500 0.000 0.000
O1 0.801 0.173 0.054
Bi1 0.012 0.061 0.749
Bi2 0.512 0.439 0.249
O2 0.117 0.545 0.259
O3 0.617 0.955 0.759
O4 0.663 0.704 0.057
O5 0.301 0.327 0.554
O6 0.163 0.796 0.557
Li2 0.500 0.000 0.500
Bi3 0.488 0.561 0.751
O7 0.699 0.673 0.446
Ti2 0.000 0.500 0.500
Bi4 0.988 0.939 0.251
O8 0.199 0.827 0.946
O9 0.837 0.204 0.443
O10 0.883 0.455 0.741
O11 0.383 0.045 0.241
O12 0.337 0.296 0.943

Below is a relaxed structure of Li2Tl2BiO6, with properties calculated at the PBE level.

SG: P-31m, No. 162

a = 5.533 Å, b = 5.533 Å, c = 5.395 Å
α = 90.00°, β = 90.00°, γ = 120.00°
Atoms (fractional coordinates):
Li1 0.333 0.667 0.000
O1 0.654 0.000 0.770
O2 0.654 0.654 0.230
Tl1 0.333 0.667 0.500
Bi1 0.000 0.000 0.000
O3 0.000 0.346 0.230
O4 0.000 0.654 0.770
Li2 0.667 0.333 0.000
O5 0.346 0.346 0.770
Tl2 0.667 0.333 0.500
O6 0.346 0.000 0.230

Below is a relaxed structure of LiTlBiO4, with properties calculated at the PBE level.

SG: Cmcm, No. 63

a = 5.735 Å, b = 5.735 Å, c = 6.934 Å
α = 90.00°, β = 90.00°, γ = 114.50°
Atoms (fractional coordinates):
Bi1 0.840 0.160 0.250
O1 0.756 0.763 0.750
O2 0.271 0.729 0.017
Tl1 0.500 0.500 0.500
Tl2 0.500 0.500 0.000
O3 0.237 0.244 0.750
O4 0.271 0.729 0.483
O5 0.729 0.271 0.517
O6 0.763 0.756 0.250
Li1 0.156 0.844 0.250
O7 0.729 0.271 0.983
Bi2 0.160 0.840 0.750
O8 0.244 0.237 0.250
Li2 0.844 0.156 0.750

Below is a relaxed structure of LiTl2BiO6, with properties calculated at the PBE level.

SG: R3, No. 146

a = 5.676 Å, b = 5.676 Å, c = 5.981 Å
α = 61.67°, β = 61.67°, γ = 60.00°
Atoms (fractional coordinates):
O1 0.702 0.097 0.755
O2 0.931 0.612 0.263
Tl1 0.530 0.530 0.411
O3 0.612 0.194 0.263
Li1 0.302 0.302 0.094
O4 0.097 0.445 0.755
Bi1 0.818 0.818 0.547
O5 0.194 0.931 0.263
Tl2 0.031 0.031 0.907
O6 0.445 0.702 0.755

Below is a relaxed structure of Li2TlBiO, with properties calculated at the PBE level.

Distance to the lowest polymorph of the same formula in meV per atom: 801
SG: P4/mmm, No. 123

a = 5.721 Å, b = 4.092 Å, c = 5.721 Å
α = 90.00°, β = 90.00°, γ = 90.00°
Atoms (fractional coordinates):
Bi1 0.500 0.500 0.500
Li1 0.000 0.000 0.500
Li2 0.500 0.000 0.000
O1 0.000 0.500 0.000
Tl1 0.000 0.000 0.000

Below is a relaxed structure of LiTlBi2O6, with properties calculated at the PBE level.

SG: R3, No. 146

a = 5.723 Å, b = 5.723 Å, c = 6.083 Å
α = 61.93°, β = 61.93°, γ = 60.00°
Atoms (fractional coordinates):
O1 0.394 0.737 0.750
O2 0.206 0.933 0.235
O3 0.737 0.118 0.750
Tl1 0.803 0.803 0.590
Bi1 0.526 0.526 0.422
O4 0.625 0.206 0.235
O5 0.119 0.394 0.750
Bi2 0.014 0.014 0.958
O6 0.933 0.625 0.235
Li1 0.304 0.304 0.089

Below is a relaxed structure of Li2TlBiO, with properties calculated at the PBE level.

Distance to the lowest polymorph of the same formula in meV per atom: 0
SG: P4/mmm, No. 123

a = 4.293 Å, b = 5.138 Å, c = 4.293 Å
α = 90.00°, β = 90.00°, γ = 90.00°
Atoms (fractional coordinates):
O1 0.000 0.000 0.000
Bi1 0.500 0.500 0.500
Li1 0.000 0.000 0.500
Li2 0.500 0.000 0.000
Tl1 0.000 0.500 0.000

Below is a relaxed structure of LiTmBi2O5, with properties calculated at the PBE level.

SG: Cmc2_1, No. 36

a = 3.412 Å, b = 7.483 Å, c = 10.579 Å
α = 90.00°, β = 90.00°, γ = 103.18°
Atoms (fractional coordinates):
O1 0.717 0.433 0.136
Bi1 0.103 0.205 0.260
Tm1 0.793 0.585 0.489
Li1 0.494 0.988 0.494
O2 0.492 0.984 0.797
O3 0.640 0.279 0.542
Bi2 0.863 0.725 0.187
O4 0.936 0.873 0.562
Bi3 0.137 0.275 0.687
O5 0.360 0.721 0.042
Tm2 0.207 0.415 0.989
Li2 0.506 0.012 0.994
O6 0.302 0.604 0.356
O7 0.698 0.396 0.856
O8 0.283 0.567 0.636
O9 0.064 0.127 0.062
Bi4 0.897 0.795 0.760
O10 0.508 0.016 0.297

Below is a relaxed structure of LiTmBiO, with properties calculated at the PBE level.

SG: Pmmm, No. 47

a = 4.674 Å, b = 4.224 Å, c = 4.475 Å
α = 90.00°, β = 90.00°, γ = 90.00°
Atoms (fractional coordinates):
Bi1 0.500 0.500 0.500
O1 0.000 0.000 0.000
Li1 0.000 0.000 0.500
Tm1 0.000 0.500 0.000

Below is a relaxed structure of LiTm2BiO6, with properties calculated at the PBE level.

SG: R3, No. 146

a = 5.614 Å, b = 5.614 Å, c = 6.033 Å
α = 62.27°, β = 62.27°, γ = 60.00°
Atoms (fractional coordinates):
O1 0.228 0.935 0.233
Tm1 0.523 0.523 0.430
O2 0.126 0.414 0.753
Li1 0.784 0.784 0.649
Tm2 0.021 0.021 0.937
O3 0.603 0.228 0.233
Bi1 0.320 0.320 0.041
O4 0.935 0.603 0.233
O5 0.414 0.707 0.753
O6 0.707 0.126 0.753

Below is a relaxed structure of LiUBiO6, with properties calculated at the PBE level.

SG: P312, No. 149

a = 4.833 Å, b = 5.286 Å, c = 5.286 Å
α = 120.00°, β = 90.00°, γ = 90.00°
Atoms (fractional coordinates):
Li1 0.500 0.000 0.000
O1 0.250 0.657 0.992
Bi1 0.500 0.667 0.333
O2 0.250 0.335 0.343
U1 0.000 0.333 0.667
O3 0.750 0.008 0.343
O4 0.750 0.657 0.665
O5 0.250 0.008 0.665
O6 0.750 0.335 0.992

Below is a relaxed structure of LiUBi2O8, with properties calculated at the PBE level.

SG: I-4m2, No. 119

a = 6.259 Å, b = 6.259 Å, c = 6.259 Å
α = 108.88°, β = 108.88°, γ = 110.65°
Atoms (fractional coordinates):
O1 0.305 0.083 0.779
Bi1 0.750 0.250 0.500
O2 0.726 0.036 0.690
O3 0.346 0.036 0.310
Li1 0.000 0.000 0.000
Bi2 0.500 0.500 0.000
O4 0.964 0.654 0.690
O5 0.917 0.695 0.221
O6 0.474 0.695 0.779
U1 0.250 0.750 0.500
O7 0.964 0.274 0.310
O8 0.305 0.526 0.221

Below is a relaxed structure of LiUBi2O6, with properties calculated at the PBE level.

SG: P2_1/c, No. 14

a = 5.791 Å, b = 6.282 Å, c = 8.008 Å
α = 90.00°, β = 89.81°, γ = 90.00°
Atoms (fractional coordinates):
O1 0.146 0.809 0.560
O2 0.185 0.844 0.943
O3 0.368 0.048 0.254
O4 0.854 0.191 0.440
Li1 0.000 0.500 0.000
O5 0.646 0.691 0.060
Bi1 0.001 0.950 0.257
Bi2 0.499 0.450 0.243
O6 0.315 0.344 0.557
O7 0.868 0.452 0.754
Li2 0.500 0.000 0.500
O8 0.685 0.656 0.443
U1 0.500 0.000 0.000
O9 0.632 0.952 0.746
U2 0.000 0.500 0.500
O10 0.354 0.309 0.940
Bi3 0.999 0.050 0.743
Bi4 0.501 0.550 0.757
O11 0.815 0.156 0.057
O12 0.132 0.548 0.246

Taking the records one at a time from the top gives E_form (uncorrected) values of -1211, -2426, -1782, -1790, -1046, -997, -918, 81, -1050, -720, -1954, -1442, -2405, -1987, -1443, -2020 meV per atom.